CoCuPtO4: optimized geometry, GGA+U.

Output
Energy: -5.67 eV/atom
Space-group type: Imma, No. 74
Magnetic moment: 0.0005 μB per atom
Crystal system: orthorhombic

a = 5.9875 Å, b = 5.9875 Å, c = 5.9875 Å
α = 122.14°, β = 117.92°, γ = 89.98°
Closest atoms and distances in Å follow each position.
Fractional positions:
1 Co 0.5000 0.0000 0.0000  6 O 1.96
2 Co 0.5000 0.5000 0.5000  6 O 1.96
3 Cu 0.1067 0.3567 0.7500  4 O 2.02-2.07
4 Cu 0.8933 0.6433 0.2500  4 O 2.02-2.07
5 Pt 0.0000 0.0000 0.0000  6 O 2.06
6 Pt 0.5000 0.0000 0.5000  6 O 2.06
7 O 0.2689 0.2525 0.4836  1 Co 1.96, 2 Pt 2.06, 1 Cu 2.07
8 O 0.2689 0.7853 0.0164  1 Co 1.96, 2 Pt 2.06, 1 Cu 2.07
9 O 0.2792 0.2419 0.0373  2 Co 1.96, 1 Cu 2.02, 1 Pt 2.06
10 O 0.2954 0.7581 0.5373  2 Co 1.96, 1 Cu 2.02, 1 Pt 2.06
11 O 0.7046 0.2419 0.4627  2 Co 1.96, 1 Cu 2.02, 1 Pt 2.06
12 O 0.7208 0.7581 0.9627  2 Co 1.96, 1 Cu 2.02, 1 Pt 2.06
13 O 0.7311 0.2147 0.9836  1 Co 1.96, 2 Pt 2.06, 1 Cu 2.07
14 O 0.7311 0.7475 0.5164  1 Co 1.96, 2 Pt 2.06, 1 Cu 2.07